Compound: PmPrAs
Source: Alexandria
Functional: PBE
Structure: optimized geometry

Results
Its total magnetization is 0.00 Bohr magnetons per cell. The value obtained for the formation energy from the elements is -2.04 eV per formula unit. The value obtained for the density is 6.6 g cm⁻³. The value obtained for the raw total energy is -64.882 eV per cell.

```
data_PmPrAs
_cell_length_a 3.7404
_cell_length_b 26.3109
_cell_length_c 3.7130
_cell_angle_alpha 90.00
_cell_angle_beta 90.00
_cell_angle_gamma 90.00
_symmetry_space_group_name_H-M 'C m c m'
_symmetry_Int_Tables_number 63
_symmetry_space_group_name_Hall '-C 2c 2'
loop_
_atom_site_label
_atom_site_type_symbol
_atom_site_fract_x
_atom_site_fract_y
_atom_site_fract_z
Pm1 Pm 0.0000 0.0656 0.2500
Pr1 Pr 0.0000 0.1929 0.2500
As1 As 0.0000 0.3757 0.2500
```